First-principles (PBE) data for a relaxed structure of Bi2SIO, as listed in Alexandria.

Geometry as POSCAR:
```
Bi2SIO
1.0
-4.046 0.162 3.087
-2.771 -0.648 -3.598
0.309 -5.038 0.669
S Bi I O
1 2 1 1
Direct
0.000 0.500 0.000
0.500 0.000 0.000
0.000 0.000 0.500
0.500 0.500 0.500
0.000 0.000 0.000
```

Computed properties:
- M_tot: 0.000 μB/atom
- Theoretical density: 8.28 g/cm³
- Space group: No. 123
- ΔE_f (raw): 17.5 kJ/mol of atoms